Entry 1:
Compound: LiHgW2
Source: Alexandria
Functional: meta-GGA SCAN
Structure: single point on PBEsol structure

The value obtained for the calculated formation energy is 32.92 kJ per mole of atoms.

a = 3.178 Å, b = 4.497 Å, c = 9.270 Å
α = 90.00°, β = 90.00°, γ = 90.00°
Element x y z (fractional)
1 Li 0.000 0.000 0.000
2 Li 0.500 0.500 0.000
3 Hg 0.000 0.500 0.244
4 Hg 0.500 0.000 0.244
5 W 0.000 0.000 0.519
6 W 0.000 0.500 0.750
7 W 0.500 0.000 0.750
8 W 0.500 0.500 0.519

---

Entry 2:
Compound: Li2HgW
Source: Alexandria
Functional: meta-GGA SCAN
Structure: single point on PBEsol structure

The value obtained for the calculated formation energy is 27.41 kJ per mole of atoms.

a = 2.682 Å, b = 2.682 Å, c = 9.049 Å
α = 90.00°, β = 90.00°, γ = 90.00°
Element x y z (fractional)
1 Li 0.000 0.000 0.246
2 Li 0.000 0.000 0.754
3 Hg 0.500 0.500 0.500
4 W 0.500 0.500 0.000

---

Entry 3:
Compound: Li2HgW
Source: Alexandria
Functional: meta-GGA SCAN
Structure: single point on PBEsol structure

The value obtained for the calculated formation energy is 61.05 kJ per mole of atoms.

a = 3.964 Å, b = 3.964 Å, c = 8.214 Å
α = 90.00°, β = 90.00°, γ = 90.00°
Element x y z (fractional)
1 Li 0.000 0.500 0.250
2 Li 0.000 0.500 0.750
3 Li 0.500 0.000 0.250
4 Li 0.500 0.000 0.750
5 Hg 0.000 0.000 0.000
6 Hg 0.500 0.500 0.500
7 W 0.000 0.000 0.500
8 W 0.500 0.500 0.000

---

Entry 4:
Compound: Li2YHg
Source: Alexandria
Functional: meta-GGA SCAN
Structure: single point on PBEsol structure

The value obtained for the calculated formation energy is -34.71 kJ per mole of atoms.

a = 6.930 Å, b = 6.930 Å, c = 6.930 Å
α = 90.00°, β = 90.00°, γ = 90.00°
Element x y z (fractional)
1 Li 0.000 0.000 0.000
2 Li 0.000 0.500 0.500
3 Li 0.250 0.250 0.250
4 Li 0.250 0.750 0.750
5 Li 0.500 0.000 0.500
6 Li 0.500 0.500 0.000
7 Li 0.750 0.250 0.750
8 Li 0.750 0.750 0.250
9 Y 0.250 0.250 0.750
10 Y 0.250 0.750 0.250
11 Y 0.750 0.250 0.250
12 Y 0.750 0.750 0.750
13 Hg 0.000 0.000 0.500
14 Hg 0.000 0.500 0.000
15 Hg 0.500 0.000 0.000
16 Hg 0.500 0.500 0.500

---

Entry 5:
Compound: LiY4Hg
Source: Alexandria
Functional: meta-GGA SCAN
Structure: single point on PBEsol structure

The value obtained for the calculated formation energy is 34.24 kJ per mole of atoms.

a = 6.254 Å, b = 6.254 Å, c = 6.254 Å
α = 60.00°, β = 60.00°, γ = 60.00°
Element x y z (fractional)
1 Li 0.000 0.000 0.000
2 Y 0.376 0.376 0.376
3 Y 0.376 0.376 0.872
4 Y 0.376 0.872 0.376
5 Y 0.872 0.376 0.376
6 Hg 0.750 0.750 0.750

---

Entry 6:
Compound: LiYHg
Source: Alexandria
Functional: meta-GGA SCAN
Structure: single point on PBEsol structure

The value obtained for the calculated formation energy is -42.35 kJ per mole of atoms.

a = 3.740 Å, b = 3.740 Å, c = 9.411 Å
α = 90.00°, β = 90.00°, γ = 90.00°
Element x y z (fractional)
1 Li 0.000 0.000 0.000
2 Li 0.500 0.500 0.500
3 Y 0.000 0.000 0.314
4 Y 0.500 0.500 0.814
5 Hg 0.000 0.000 0.641
6 Hg 0.500 0.500 0.141

---

Entry 7:
Compound: LiY2Hg2
Source: Alexandria
Functional: meta-GGA SCAN
Structure: single point on PBEsol structure

The value obtained for the calculated formation energy is -60.13 kJ per mole of atoms.

a = 8.015 Å, b = 8.015 Å, c = 3.886 Å
α = 90.00°, β = 90.00°, γ = 90.00°
Element x y z (fractional)
1 Li 0.000 0.000 0.000
2 Li 0.500 0.500 0.000
3 Y 0.160 0.340 0.500
4 Y 0.340 0.840 0.500
5 Y 0.660 0.160 0.500
6 Y 0.840 0.660 0.500
7 Hg 0.139 0.639 0.000
8 Hg 0.361 0.139 0.000
9 Hg 0.639 0.861 0.000
10 Hg 0.861 0.361 0.000

---

Entry 8:
Compound: Li2YHg
Source: Alexandria
Functional: meta-GGA SCAN
Structure: single point on PBEsol structure

The value obtained for the calculated formation energy is -34.03 kJ per mole of atoms.

a = 4.717 Å, b = 4.717 Å, c = 6.728 Å
α = 90.00°, β = 90.00°, γ = 90.00°
Element x y z (fractional)
1 Li 0.000 0.500 0.250
2 Li 0.000 0.500 0.750
3 Li 0.500 0.000 0.250
4 Li 0.500 0.000 0.750
5 Y 0.000 0.000 0.000
6 Y 0.500 0.500 0.500
7 Hg 0.000 0.000 0.500
8 Hg 0.500 0.500 0.000

---

What is the calculated formation energy in the second record?
27.41 kJ per mole of atoms